Entry 1:
{
  "formula": "Ag6Pd",
  "functional": "PBE-GGA",
  "state": "optimized geometry",
  "cell": [[-3.709, 3.709, 3.709], [3.709, -3.709, 3.709], [3.709, 3.709, -3.709]],
  "species": ["Ag", "Ag", "Ag", "Ag", "Ag", "Ag", "Pd"],
  "fractional_positions": [[0.250, 0.500, 0.750], [0.250, 0.750, 0.500], [0.500, 0.250, 0.750], [0.500, 0.750, 0.250], [0.750, 0.250, 0.500], [0.750, 0.500, 0.250], [0.000, 0.000, 0.000]],
  "e_form_ev_per_atom": 0.971,
  "spacegroup": "No. 229",
  "e_tot_ev_per_atom": -2.22,
  "dos_at_fermi_per_ev_cell": 1.7,
  "m_tot_mub_per_fu": 0.0,
  "polymorph_energy_mev_per_atom": 949
}

---

Entry 2:
{
  "formula": "Ag4Pd",
  "functional": "PBE-GGA",
  "state": "optimized geometry",
  "cell": [[5.048, 0.000, 0.000], [0.000, 5.048, 0.000], [0.000, 0.000, 5.048]],
  "species": ["Ag", "Ag", "Ag", "Ag", "Pd"],
  "fractional_positions": [[0.000, 0.000, 0.000], [0.000, 0.500, 0.500], [0.500, 0.000, 0.500], [0.500, 0.500, 0.000], [0.500, 0.500, 0.500]],
  "e_form_ev_per_atom": 0.766,
  "spacegroup": "No. 221",
  "e_tot_ev_per_atom": -2.55,
  "dos_at_fermi_per_ev_cell": 1.4,
  "m_tot_mub_per_fu": 0.0,
  "polymorph_energy_mev_per_atom": 760
}

---

Entry 3:
{
  "formula": "Ag3Pd8",
  "functional": "PBE-GGA",
  "state": "optimized geometry",
  "cell": [[3.782, -2.322, 0.000], [3.782, 2.322, 0.000], [-1.633, 0.000, 10.110]],
  "species": ["Ag", "Ag", "Ag", "Pd", "Pd", "Pd", "Pd", "Pd", "Pd", "Pd", "Pd"],
  "fractional_positions": [[0.000, 0.000, 0.000], [0.275, 0.275, 0.817], [0.725, 0.725, 0.183], [0.090, 0.090, 0.278], [0.182, 0.182, 0.544], [0.364, 0.364, 0.094], [0.453, 0.453, 0.366], [0.547, 0.547, 0.634], [0.636, 0.636, 0.906], [0.818, 0.818, 0.456], [0.910, 0.910, 0.722]],
  "e_form_ev_per_atom": 0.046,
  "spacegroup": "No. 12",
  "e_tot_ev_per_atom": -4.51,
  "dos_at_fermi_per_ev_cell": 13.6,
  "m_tot_mub_per_fu": 0.0
}

---

Entry 4:
{
  "formula": "Ag6Pd",
  "functional": "PBE-GGA",
  "state": "optimized geometry",
  "cell": [[2.318, 1.338, 6.615], [-2.318, 1.338, 6.615], [0.000, -2.677, 6.615]],
  "species": ["Ag", "Ag", "Ag", "Ag", "Ag", "Ag", "Pd"],
  "fractional_positions": [[0.073, 0.073, 0.073], [0.214, 0.214, 0.214], [0.358, 0.358, 0.358], [0.642, 0.642, 0.642], [0.786, 0.786, 0.786], [0.927, 0.927, 0.927], [0.500, 0.500, 0.500]],
  "e_form_ev_per_atom": 0.022,
  "spacegroup": "No. 166",
  "e_tot_ev_per_atom": -3.16,
  "dos_at_fermi_per_ev_cell": 1.9,
  "m_tot_mub_per_fu": 0.0,
  "polymorph_energy_mev_per_atom": 0
}

---

Entry 5:
{
  "formula": "Ag2Pd",
  "functional": "PBE-GGA",
  "state": "optimized geometry",
  "cell": [[7.840, 0.000, 0.000], [0.000, 2.823, 0.000], [0.000, 0.000, 9.326]],
  "species": ["Ag", "Ag", "Ag", "Ag", "Ag", "Ag", "Ag", "Ag", "Pd", "Pd", "Pd", "Pd"],
  "fractional_positions": [[0.080, 0.250, 0.155], [0.239, 0.250, 0.883], [0.261, 0.750, 0.383], [0.420, 0.750, 0.655], [0.580, 0.250, 0.345], [0.739, 0.250, 0.617], [0.761, 0.750, 0.117], [0.920, 0.750, 0.845], [0.095, 0.250, 0.608], [0.405, 0.750, 0.108], [0.595, 0.250, 0.892], [0.905, 0.750, 0.392]],
  "e_form_ev_per_atom": 0.000,
  "spacegroup": "No. 62",
  "e_tot_ev_per_atom": -3.63,
  "dos_at_fermi_per_ev_cell": 2.5,
  "m_tot_mub_per_fu": 0.0,
  "polymorph_energy_mev_per_atom": 35
}

---

Entry 6:
{
  "formula": "Ag3Pd",
  "functional": "PBE-GGA",
  "state": "optimized geometry",
  "cell": [[2.915, 0.000, 0.000], [0.000, 4.723, 0.000], [0.000, 0.000, 5.003]],
  "species": ["Ag", "Ag", "Ag", "Pd"],
  "fractional_positions": [[0.000, 0.000, 0.000], [0.000, 0.500, 0.338], [0.500, 0.000, 0.507], [0.500, 0.500, 0.839]],
  "e_form_ev_per_atom": -0.012,
  "spacegroup": "No. 25",
  "e_tot_ev_per_atom": -3.45,
  "dos_at_fermi_per_ev_cell": 1.8,
  "m_tot_mub_per_fu": 0.0
}

---

Entry 7:
{
  "formula": "Ag8Pd",
  "functional": "PBE-GGA",
  "state": "optimized geometry",
  "cell": [[-4.990, 4.990, 1.599], [4.990, -4.990, 1.599], [4.990, 4.990, -1.599]],
  "species": ["Ag", "Ag", "Ag", "Ag", "Ag", "Ag", "Ag", "Ag", "Pd"],
  "fractional_positions": [[0.000, 0.332, 0.332], [0.000, 0.668, 0.668], [0.332, 0.000, 0.332], [0.335, 0.335, 0.670], [0.335, 0.665, 0.000], [0.665, 0.335, 0.000], [0.665, 0.665, 0.330], [0.668, 0.000, 0.668], [0.000, 0.000, 0.000]],
  "e_form_ev_per_atom": 0.027,
  "spacegroup": "No. 139",
  "e_tot_ev_per_atom": -3.08,
  "dos_at_fermi_per_ev_cell": 1.6,
  "m_tot_mub_per_fu": 0.0,
  "polymorph_energy_mev_per_atom": 35
}

---

Entry 8:
{
  "formula": "Ag5Pd2",
  "functional": "PBE-GGA",
  "state": "optimized geometry",
  "cell": [[6.437, -2.504, 0.000], [6.437, 2.504, 0.000], [-0.316, 0.000, 7.431]],
  "species": ["Ag", "Ag", "Ag", "Ag", "Ag", "Ag", "Ag", "Ag", "Ag", "Ag", "Pd", "Pd", "Pd", "Pd"],
  "fractional_positions": [[0.027, 0.692, 0.037], [0.123, 0.448, 0.678], [0.170, 0.830, 0.750], [0.308, 0.973, 0.463], [0.448, 0.123, 0.178], [0.552, 0.877, 0.822], [0.692, 0.027, 0.537], [0.830, 0.170, 0.250], [0.877, 0.552, 0.322], [0.973, 0.308, 0.963], [0.263, 0.595, 0.392], [0.405, 0.737, 0.108], [0.595, 0.263, 0.892], [0.737, 0.405, 0.608]],
  "e_form_ev_per_atom": -0.027,
  "spacegroup": "No. 15",
  "e_tot_ev_per_atom": -3.55,
  "dos_at_fermi_per_ev_cell": 3.9,
  "m_tot_mub_per_fu": 0.0,
  "polymorph_energy_mev_per_atom": 9
}

---

Entry 9:
{
  "formula": "Ag5Pd3",
  "functional": "PBE-GGA",
  "state": "optimized geometry",
  "cell": [[4.056, -4.094, 0.000], [4.056, 4.094, 0.000], [0.000, 0.000, 4.063]],
  "species": ["Ag", "Ag", "Ag", "Ag", "Ag", "Pd", "Pd", "Pd"],
  "fractional_positions": [[0.000, 0.000, 0.000], [0.000, 0.500, 0.000], [0.253, 0.253, 0.500], [0.500, 0.000, 0.000], [0.747, 0.747, 0.500], [0.251, 0.749, 0.500], [0.500, 0.500, 0.000], [0.749, 0.251, 0.500]],
  "e_form_ev_per_atom": -0.033,
  "spacegroup": "No. 65",
  "e_tot_ev_per_atom": -3.76,
  "dos_at_fermi_per_ev_cell": 4.1,
  "m_tot_mub_per_fu": 0.0
}

---

Entry 10:
{
  "formula": "AgPd7",
  "functional": "PBE-GGA",
  "state": "optimized geometry",
  "cell": [[0.000, 3.970, 3.970], [3.970, 0.000, 3.970], [3.970, 3.970, 0.000]],
  "species": ["Ag", "Pd", "Pd", "Pd", "Pd", "Pd", "Pd", "Pd"],
  "fractional_positions": [[0.000, 0.000, 0.000], [0.000, 0.000, 0.500], [0.000, 0.500, 0.000], [0.000, 0.500, 0.500], [0.500, 0.000, 0.000], [0.500, 0.000, 0.500], [0.500, 0.500, 0.000], [0.500, 0.500, 0.500]],
  "e_form_ev_per_atom": -0.008,
  "spacegroup": "No. 225",
  "e_tot_ev_per_atom": -4.91,
  "dos_at_fermi_per_ev_cell": 13.5,
  "m_tot_mub_per_fu": 0.0
}

---

Entry 11:
{
  "formula": "Ag2Pd13",
  "functional": "PBE-GGA",
  "state": "optimized geometry",
  "cell": [[3.666, 2.116, 6.514], [-3.666, 2.116, 6.514], [0.000, -4.233, 6.514]],
  "species": ["Ag", "Ag", "Pd", "Pd", "Pd", "Pd", "Pd", "Pd", "Pd", "Pd", "Pd", "Pd", "Pd", "Pd", "Pd"],
  "fractional_positions": [[0.234, 0.234, 0.234], [0.766, 0.766, 0.766], [0.000, 0.000, 0.000], [0.015, 0.015, 0.646], [0.015, 0.646, 0.015], [0.237, 0.237, 0.601], [0.237, 0.601, 0.237], [0.354, 0.985, 0.985], [0.399, 0.763, 0.763], [0.601, 0.237, 0.237], [0.646, 0.015, 0.015], [0.763, 0.399, 0.763], [0.763, 0.763, 0.399], [0.985, 0.354, 0.985], [0.985, 0.985, 0.354]],
  "e_form_ev_per_atom": 0.457,
  "spacegroup": "No. 166",
  "e_tot_ev_per_atom": -4.42,
  "dos_at_fermi_per_ev_cell": 41.5,
  "m_tot_mub_per_fu": 0.3
}

---

Entry 12:
{
  "formula": "Ag5Pd2",
  "functional": "PBE-GGA",
  "state": "optimized geometry",
  "cell": [[4.578, -2.039, 0.000], [4.578, 2.039, 0.000], [-0.972, 0.000, 6.405]],
  "species": ["Ag", "Ag", "Ag", "Ag", "Ag", "Pd", "Pd"],
  "fractional_positions": [[0.000, 0.000, 0.000], [0.142, 0.142, 0.430], [0.286, 0.286, 0.857], [0.714, 0.714, 0.143], [0.858, 0.858, 0.570], [0.429, 0.429, 0.287], [0.571, 0.571, 0.713]],
  "e_form_ev_per_atom": -0.036,
  "spacegroup": "No. 12",
  "e_tot_ev_per_atom": -3.56,
  "dos_at_fermi_per_ev_cell": 2.0,
  "m_tot_mub_per_fu": 0.0,
  "polymorph_energy_mev_per_atom": 0
}

---

Number 6 is which compound?
Ag3Pd